[1]
The following is a DFT calculation (PBE-GGA) of a relaxed SrLa2Re crystal.

Geometry as POSCAR:
```
SrLa2Re
1.0
7.6299 0.0000 0.0000
0.0000 7.6299 0.0000
0.0000 0.0000 7.6299
Sr La Re
4 8 4
Direct
0.0000 0.0000 0.0000 Sr
0.0000 0.5000 0.5000 Sr
0.5000 0.0000 0.5000 Sr
0.5000 0.5000 0.0000 Sr
0.2500 0.2500 0.2500 La
0.2500 0.2500 0.7500 La
0.2500 0.7500 0.2500 La
0.2500 0.7500 0.7500 La
0.7500 0.2500 0.2500 La
0.7500 0.2500 0.7500 La
0.7500 0.7500 0.2500 La
0.7500 0.7500 0.7500 La
0.0000 0.0000 0.5000 Re
0.0000 0.5000 0.0000 Re
0.5000 0.0000 0.0000 Re
0.5000 0.5000 0.5000 Re
```

M_tot: 0.0 μB/cell
SG: Fm-3m, No. 225
E_form: 207.0 kJ/mol of formula units
energy relative to the lowest polymorph listed for this composition: 309 meV per atom

[2]
The following is a DFT calculation (PBE-GGA) of a relaxed Sr2LaRe crystal.

Geometry as POSCAR:
```
Sr2LaRe
1.0
5.4329 0.0000 0.0000
0.0000 5.4329 0.0000
0.0000 0.0000 7.8087
Sr La Re
4 2 2
Direct
0.0000 0.0000 0.0000 Sr
0.0000 0.5000 0.2500 Sr
0.5000 0.0000 0.7500 Sr
0.5000 0.5000 0.5000 Sr
0.0000 0.5000 0.7500 La
0.5000 0.0000 0.2500 La
0.0000 0.0000 0.5000 Re
0.5000 0.5000 0.0000 Re
```

M_tot: 0.0 μB/cell
SG: I-4m2, No. 119
E_form: 298.9 kJ/mol of formula units
energy relative to the lowest polymorph listed for this composition: 288 meV per atom

[3]
The following is a DFT calculation (PBE-GGA) of a relaxed Sr2LaRe crystal.

Geometry as POSCAR:
```
Sr2LaRe
1.0
3.2781 0.0000 0.0000
0.0000 5.3483 0.0000
0.0000 0.0000 6.6506
Sr La Re
2 1 1
Direct
0.0000 0.0000 0.2259 Sr
0.0000 0.0000 0.7741 Sr
0.5000 0.5000 0.5000 La
0.5000 0.5000 0.0000 Re
```

M_tot: 0.0 μB/cell
SG: Pmmm, No. 47
E_form: 363.6 kJ/mol of formula units
energy relative to the lowest polymorph listed for this composition: 455 meV per atom

[4]
The following is a DFT calculation (PBE-GGA) of a relaxed Sr2LaRe crystal.

Geometry as POSCAR:
```
Sr2LaRe
1.0
3.5401 0.0000 0.0000
-1.7701 3.0659 0.0000
0.0000 0.0000 35.7827
Sr La Re
6 3 3
Direct
0.0000 0.0000 0.2323 Sr
0.0000 0.0000 0.7677 Sr
0.3333 0.6667 0.4343 Sr
0.3333 0.6667 0.8990 Sr
0.6667 0.3333 0.1010 Sr
0.6667 0.3333 0.5657 Sr
0.0000 0.0000 0.0000 La
0.3333 0.6667 0.6667 La
0.6667 0.3333 0.3333 La
0.0000 0.0000 0.5000 Re
0.3333 0.6667 0.1667 Re
0.6667 0.3333 0.8333 Re
```

M_tot: 3.0 μB/cell
SG: R-3m, No. 166
E_form: 376.1 kJ/mol of formula units
energy relative to the lowest polymorph listed for this composition: 488 meV per atom

[5]
The following is a DFT calculation (PBE-GGA) of a relaxed Sr2LaRe crystal.

Geometry as POSCAR:
```
Sr2LaRe
1.0
3.5047 0.0000 0.0000
0.0000 3.5047 0.0000
0.0000 0.0000 10.7975
Sr La Re
2 1 1
Direct
0.0000 0.0000 0.1868 Sr
0.0000 0.0000 0.8132 Sr
0.5000 0.5000 0.5000 La
0.5000 0.5000 0.0000 Re
```

M_tot: 1.7 μB/cell
SG: P4/mmm, No. 123
E_form: 341.2 kJ/mol of formula units
energy relative to the lowest polymorph listed for this composition: 397 meV per atom

[6]
The following is a DFT calculation (PBE-GGA) of a relaxed SrLa2Re crystal.

Geometry as POSCAR:
```
SrLa2Re
1.0
3.6379 0.0000 0.0000
-1.8190 3.1505 0.0000
0.0000 0.0000 32.9884
Sr La Re
3 6 3
Direct
0.0000 0.0000 0.0000 Sr
0.3333 0.6667 0.6667 Sr
0.6667 0.3333 0.3333 Sr
0.0000 0.0000 0.5366 La
0.0000 0.0000 0.7763 La
0.3333 0.6667 0.2032 La
0.3333 0.6667 0.4430 La
0.6667 0.3333 0.1097 La
0.6667 0.3333 0.8699 La
0.0000 0.0000 0.2621 Re
0.3333 0.6667 0.9288 Re
0.6667 0.3333 0.5955 Re
```

M_tot: 0.4 μB/cell
SG: R3m, No. 160
E_form: 253.3 kJ/mol of formula units
energy relative to the lowest polymorph listed for this composition: 428 meV per atom

[7]
The following is a DFT calculation (PBE-GGA) of a relaxed SrLa2Re crystal.

Geometry as POSCAR:
```
SrLa2Re
1.0
8.3533 0.0000 0.0000
0.0000 8.3533 0.0000
0.0000 0.0000 11.8136
Sr La Re
4 8 4
Direct
0.0000 0.0000 0.0000 Sr
0.0000 0.5000 0.2500 Sr
0.5000 0.0000 0.7500 Sr
0.5000 0.5000 0.5000 Sr
0.0077 0.2500 0.6250 La
0.2500 0.5077 0.8750 La
0.2500 0.9923 0.3750 La
0.4923 0.2500 0.1250 La
0.5077 0.7500 0.1250 La
0.7500 0.0077 0.3750 La
0.7500 0.4923 0.8750 La
0.9923 0.7500 0.6250 La
0.0000 0.0000 0.5000 Re
0.0000 0.5000 0.7500 Re
0.5000 0.0000 0.2500 Re
0.5000 0.5000 0.0000 Re
```

M_tot: 0.0 μB/cell
SG: I-42d, No. 122
E_form: 233.2 kJ/mol of formula units
energy relative to the lowest polymorph listed for this composition: 376 meV per atom

[8]
The following is a DFT calculation (PBE-GGA) of a relaxed Sr2LaRe crystal.

Geometry as POSCAR:
```
Sr2LaRe
1.0
4.6732 0.0000 0.0000
0.0000 4.6732 0.0000
0.0000 0.0000 5.4515
Sr La Re
2 1 1
Direct
0.0000 0.5000 0.0000 Sr
0.5000 0.0000 0.0000 Sr
0.0000 0.0000 0.5000 La
0.5000 0.5000 0.5000 Re
```

M_tot: 0.5 μB/cell
SG: P4/mmm, No. 123
E_form: 324.2 kJ/mol of formula units
energy relative to the lowest polymorph listed for this composition: 353 meV per atom

[9]
The following is a DFT calculation (PBE-GGA) of a relaxed Sr2LaRe crystal.

Geometry as POSCAR:
```
Sr2LaRe
1.0
7.7800 0.0000 0.0000
0.0000 7.7800 0.0000
0.0000 0.0000 7.7800
Sr La Re
8 4 4
Direct
0.2500 0.2500 0.2500 Sr
0.2500 0.2500 0.7500 Sr
0.2500 0.7500 0.2500 Sr
0.2500 0.7500 0.7500 Sr
0.7500 0.2500 0.2500 Sr
0.7500 0.2500 0.7500 Sr
0.7500 0.7500 0.2500 Sr
0.7500 0.7500 0.7500 Sr
0.0000 0.0000 0.0000 La
0.0000 0.5000 0.5000 La
0.5000 0.0000 0.5000 La
0.5000 0.5000 0.0000 La
0.0000 0.0000 0.5000 Re
0.0000 0.5000 0.0000 Re
0.5000 0.0000 0.0000 Re
0.5000 0.5000 0.5000 Re
```

M_tot: 0.0 μB/cell
SG: Fm-3m, No. 225
E_form: 382.1 kJ/mol of formula units
energy relative to the lowest polymorph listed for this composition: 503 meV per atom

[10]
The following is a DFT calculation (PBE-GGA) of a relaxed Sr2LaRe crystal.

Geometry as POSCAR:
```
Sr2LaRe
1.0
4.7763 0.0000 0.0000
-2.3881 4.1364 0.0000
0.0000 0.0000 21.9049
Sr La Re
6 3 3
Direct
0.0000 0.0000 0.0000 Sr
0.0000 0.0000 0.1921 Sr
0.3333 0.6667 0.6667 Sr
0.3333 0.6667 0.8587 Sr
0.6667 0.3333 0.3333 Sr
0.6667 0.3333 0.5254 Sr
0.0000 0.0000 0.7609 La
0.3333 0.6667 0.4276 La
0.6667 0.3333 0.0942 La
0.0000 0.0000 0.4290 Re
0.3333 0.6667 0.0956 Re
0.6667 0.3333 0.7623 Re
```

M_tot: 0.0 μB/cell
SG: R3m, No. 160
E_form: 188.2 kJ/mol of formula units
energy relative to the lowest polymorph listed for this composition: 1 meV per atom

[11]
The following is a DFT calculation (PBE-GGA) of a relaxed SrLa2Re crystal.

Geometry as POSCAR:
```
SrLa2Re
1.0
4.9100 0.0000 0.0000
0.0000 5.3166 0.0000
0.0000 0.0000 10.4260
Sr La Re
2 4 2
Direct
0.0000 0.0000 0.0000 Sr
0.5000 0.5000 0.0000 Sr
0.0000 0.5000 0.3353 La
0.0000 0.5000 0.6647 La
0.5000 0.0000 0.3353 La
0.5000 0.0000 0.6647 La
0.0000 0.0000 0.5000 Re
0.5000 0.5000 0.5000 Re
```

M_tot: 0.0 μB/cell
SG: Cmmm, No. 65
E_form: 88.0 kJ/mol of formula units
energy relative to the lowest polymorph listed for this composition: 0 meV per atom

[12]
The following is a DFT calculation (PBE-GGA) of a relaxed SrLa2Re crystal.

Geometry as POSCAR:
```
SrLa2Re
1.0
4.8825 0.0000 0.0000
0.0000 4.8825 0.0000
0.0000 0.0000 9.3080
Sr La Re
2 4 2
Direct
0.0000 0.0000 0.0000 Sr
0.5000 0.5000 0.5000 Sr
0.0000 0.0000 0.5000 La
0.0000 0.5000 0.7500 La
0.5000 0.0000 0.2500 La
0.5000 0.5000 0.0000 La
0.0000 0.5000 0.2500 Re
0.5000 0.0000 0.7500 Re
```

M_tot: 0.0 μB/cell
SG: I-4m2, No. 119
E_form: 260.5 kJ/mol of formula units
energy relative to the lowest polymorph listed for this composition: 447 meV per atom